(A)
The following is a DFT calculation (PBE) of a geometry-optimized TlSb3 structure.

M_tot ... 0.0 μB per formula unit

a = 5.4166 Å, b = 5.4166 Å, c = 5.4166 Å
α = 60.00°, β = 60.00°, γ = 60.00°
With the nearest neighbours (Å) after each atom.
Fractional positions:
Tl (0.0000, 0.0000, 0.0000)  8 Sb 3.32
Sb (0.2500, 0.2500, 0.2500)  4 Tl 3.32, 4 Sb 3.32
Sb (0.5000, 0.5000, 0.5000)  8 Sb 3.32
Sb (0.7500, 0.7500, 0.7500)  4 Tl 3.32, 4 Sb 3.32



(B)
The following is a DFT calculation (PBE) of a geometry-optimized TlSb3 structure.

M_tot ... 0.0 μB per formula unit

a = 11.5384 Å, b = 11.5384 Å, c = 11.5384 Å
α = 16.89°, β = 16.89°, γ = 16.89°
With the nearest neighbours (Å) after each atom.
Fractional positions:
Tl (0.0000, 0.0000, 0.0000)  6 Tl 3.39, 6 Sb 3.51
Sb (0.2480, 0.2480, 0.2480)  9 Sb 3.39-3.40, 3 Tl 3.51
Sb (0.5000, 0.5000, 0.5000)  12 Sb 3.39-3.40
Sb (0.7520, 0.7520, 0.7520)  9 Sb 3.39-3.40, 3 Tl 3.51



Of them, (B) has the highest stability.



(A)
The following is a DFT calculation (PBE) of a geometry-optimized TlSb3 structure.

M_tot ... 0.0 μB per formula unit

a = 5.8134 Å, b = 5.8134 Å, c = 5.8134 Å
α = 90.00°, β = 90.00°, γ = 90.00°
With the nearest neighbours (Å) after each atom.
Fractional positions:
Tl (0.0000, 0.0000, 0.0000)  6 Sb 2.91
Sb (0.0000, 0.0000, 0.5000)  2 Tl 2.91
Sb (0.0000, 0.5000, 0.0000)  2 Tl 2.91
Sb (0.5000, 0.0000, 0.0000)  2 Tl 2.91



(B)
The following is a DFT calculation (PBE) of a geometry-optimized TlSb3 structure.

M_tot ... 0.0 μB per formula unit

a = 6.6591 Å, b = 6.6591 Å, c = 6.6591 Å
α = 117.68°, β = 117.68°, γ = 117.68°
With the nearest neighbours (Å) after each atom.
Fractional positions:
Tl (0.0000, 0.0000, 0.0000)  2 Tl 3.07
Sb (0.0000, 0.5000, 0.5000)  2 Sb 3.07
Sb (0.5000, 0.0000, 0.5000)  2 Sb 3.07
Sb (0.5000, 0.5000, 0.0000)  2 Sb 3.07



Of them, (B) has the highest stability.



(A)
The following is a DFT calculation (PBE) of a geometry-optimized TlSb3 structure.

M_tot ... 0.0 μB per formula unit

a = 3.2572 Å, b = 5.6418 Å, c = 6.5006 Å
α = 90.00°, β = 90.00°, γ = 90.00°
With the nearest neighbours (Å) after each atom.
Fractional positions:
Tl (0.0000, 0.0000, 0.0000)  2 Tl 3.26, 4 Sb 3.64
Sb (0.5000, 0.0000, 0.5000)  6 Sb 3.20-3.26
Sb (0.5000, 0.5000, 0.2676)  5 Sb 3.02-3.26
Sb (0.5000, 0.5000, 0.7324)  5 Sb 3.02-3.26



(B)
The following is a DFT calculation (PBE) of a geometry-optimized TlSb3 structure.

M_tot ... 0.0 μB per formula unit

a = 5.9546 Å, b = 5.9546 Å, c = 5.9546 Å
α = 131.73°, β = 131.73°, γ = 70.65°
With the nearest neighbours (Å) after each atom.
Fractional positions:
Tl (0.0000, 0.0000, 0.0000)  12 Sb 3.44
Sb (0.2500, 0.7500, 0.5000)  4 Tl 3.44, 8 Sb 3.44
Sb (0.5000, 0.5000, 0.0000)  8 Sb 3.44, 4 Tl 3.44
Sb (0.7500, 0.2500, 0.5000)  4 Tl 3.44, 8 Sb 3.44



Of them, (A) has the highest stability.



(A)
The following is a DFT calculation (PBE) of a geometry-optimized TlSb3 structure.

M_tot ... 0.0 μB per formula unit

a = 6.4684 Å, b = 6.4684 Å, c = 3.1540 Å
α = 90.00°, β = 90.00°, γ = 119.30°
With the nearest neighbours (Å) after each atom.
Fractional positions:
Tl (0.0000, 0.0000, 0.0000)  2 Tl 3.15, 2 Sb 3.27
Sb (0.0000, 0.5000, 0.5000)  4 Sb 3.15-3.27
Sb (0.5000, 0.0000, 0.5000)  4 Sb 3.15-3.27
Sb (0.5000, 0.5000, 0.0000)  2 Sb 3.15, 2 Tl 3.27



(B)
The following is a DFT calculation (PBE) of a geometry-optimized TlSb3 structure.

M_tot ... 0.0 μB per formula unit

a = 6.1716 Å, b = 6.1716 Å, c = 5.7037 Å
α = 109.38°, β = 109.38°, γ = 37.90°
With the nearest neighbours (Å) after each atom.
Fractional positions:
Tl (0.0000, 0.0000, 0.0000)  12 Sb 3.49-3.77
Sb (0.2212, 0.2212, 0.6665)  4 Sb 3.00-3.14
Sb (0.5000, 0.5000, 0.5000)  4 Sb 3.14, 4 Tl 3.49
Sb (0.7788, 0.7788, 0.3335)  4 Sb 3.00-3.14



Of them, (B) has the highest stability.



(A)
The following is a DFT calculation (PBE) of a geometry-optimized Tl8Sb structure.

M_tot ... 0.0 μB per formula unit

a = 7.7908 Å, b = 7.7908 Å, c = 7.7908 Å
α = 96.20°, β = 96.20°, γ = 141.63°
With the nearest neighbours (Å) after each atom.
Fractional positions:
Tl (0.0000, 0.3297, 0.3297)  1 Sb 3.43, 11 Tl 3.51-3.58
Tl (0.0000, 0.6703, 0.6703)  1 Sb 3.43, 11 Tl 3.51-3.58
Tl (0.3297, 0.0000, 0.3297)  1 Sb 3.43, 11 Tl 3.51-3.58
Tl (0.3368, 0.3368, 0.6737)  10 Tl 3.40-3.62, 2 Sb 3.51
Tl (0.3368, 0.6632, 0.0000)  10 Tl 3.40-3.62, 2 Sb 3.51
Tl (0.6632, 0.3368, 0.0000)  10 Tl 3.40-3.62, 2 Sb 3.51
Tl (0.6632, 0.6632, 0.3263)  10 Tl 3.40-3.62, 2 Sb 3.51
Tl (0.6703, 0.0000, 0.6703)  1 Sb 3.43, 11 Tl 3.51-3.58
Sb (0.0000, 0.0000, 0.0000)  12 Tl 3.43-3.51



(B)
The following is a DFT calculation (PBE) of a geometry-optimized Tl8Sb structure.

M_tot ... 0.0 μB per formula unit

a = 8.6910 Å, b = 8.6910 Å, c = 8.6910 Å
α = 92.89°, β = 92.89°, γ = 154.05°
With the nearest neighbours (Å) after each atom.
Fractional positions:
Tl (0.0000, 0.3327, 0.3327)  8 Tl 3.43-3.44
Tl (0.0000, 0.6673, 0.6673)  8 Tl 3.43-3.44
Tl (0.3327, 0.0000, 0.3327)  8 Tl 3.43-3.44
Tl (0.3392, 0.3392, 0.6784)  2 Sb 3.35, 6 Tl 3.43-3.60
Tl (0.3392, 0.6608, 0.0000)  2 Sb 3.35, 6 Tl 3.43-3.60
Tl (0.6608, 0.3392, 0.0000)  2 Sb 3.35, 6 Tl 3.43-3.60
Tl (0.6608, 0.6608, 0.3216)  2 Sb 3.35, 6 Tl 3.43-3.60
Tl (0.6673, 0.0000, 0.6673)  8 Tl 3.43-3.44
Sb (0.0000, 0.0000, 0.0000)  8 Tl 3.35



Of them, (A) has the highest stability.



(A)
The following is a DFT calculation (PBE) of a geometry-optimized TlSb5 structure.

M_tot ... 0.0 μB per formula unit

a = 6.3355 Å, b = 6.3355 Å, c = 6.3355 Å
α = 60.00°, β = 60.00°, γ = 60.00°
With the nearest neighbours (Å) after each atom.
Fractional positions:
Tl (0.0000, 0.0000, 0.0000)  16 Sb 3.72-3.88
Sb (0.3756, 0.3756, 0.3756)  6 Sb 3.15-3.18
Sb (0.3756, 0.3756, 0.8733)  6 Sb 3.15-3.18
Sb (0.3756, 0.8733, 0.3756)  6 Sb 3.15-3.18
Sb (0.7500, 0.7500, 0.7500)  12 Sb 3.71, 4 Tl 3.88
Sb (0.8733, 0.3756, 0.3756)  6 Sb 3.15-3.18



(B)
The following is a DFT calculation (PBE) of a geometry-optimized TlSb5 structure.

M_tot ... 0.0 μB per formula unit

a = 6.7685 Å, b = 6.7685 Å, c = 8.0638 Å
α = 113.20°, β = 113.20°, γ = 34.49°
With the nearest neighbours (Å) after each atom.
Fractional positions:
Tl (0.0000, 0.0000, 0.0000)  6 Sb 3.40-3.57
Sb (0.0366, 0.0366, 0.5965)  5 Sb 2.95-3.17
Sb (0.2676, 0.2676, 0.6076)  5 Sb 2.95-3.19
Sb (0.4031, 0.4031, 0.2744)  4 Sb 3.00-3.17
Sb (0.7127, 0.7127, 0.8532)  5 Sb 3.10-3.36, 1 Tl 3.40
Sb (0.7327, 0.7327, 0.2817)  5 Sb 3.00-3.36



(C)
The following is a DFT calculation (PBE) of a geometry-optimized TlSb5 structure.

M_tot ... 0.0 μB per formula unit

a = 5.9108 Å, b = 5.9108 Å, c = 5.5874 Å
α = 90.00°, β = 90.00°, γ = 120.00°
With the nearest neighbours (Å) after each atom.
Fractional positions:
Tl (0.0000, 0.0000, 0.0000)  12 Sb 3.41-3.50
Sb (0.0000, 0.6443, 0.5000)  10 Sb 3.30-3.64, 2 Tl 3.50
Sb (0.3333, 0.6667, 0.0000)  9 Sb 3.38-3.41, 3 Tl 3.41
Sb (0.3557, 0.3557, 0.5000)  10 Sb 3.30-3.64, 2 Tl 3.50
Sb (0.6443, 0.0000, 0.5000)  10 Sb 3.30-3.64, 2 Tl 3.50
Sb (0.6667, 0.3333, 0.0000)  9 Sb 3.38-3.41, 3 Tl 3.41



Of them, (B) has the highest stability.



(A)
The following is a DFT calculation (PBE) of a geometry-optimized Tl3Sb2 structure.

M_tot ... 0.0 μB per formula unit

a = 7.3677 Å, b = 7.3677 Å, c = 7.3677 Å
α = 70.48°, β = 70.48°, γ = 70.48°
With the nearest neighbours (Å) after each atom.
Fractional positions:
Tl (0.0055, 0.7500, 0.4945)  4 Sb 3.22-3.43
Tl (0.2500, 0.5055, 0.9945)  4 Sb 3.22-3.43
Tl (0.4945, 0.0055, 0.7500)  4 Sb 3.22-3.43
Tl (0.5055, 0.9945, 0.2500)  4 Sb 3.22-3.43
Tl (0.7500, 0.4945, 0.0055)  4 Sb 3.22-3.43
Tl (0.9945, 0.2500, 0.5055)  4 Sb 3.22-3.43
Sb (0.0886, 0.0886, 0.0886)  1 Sb 2.92, 3 Tl 3.22
Sb (0.4114, 0.4114, 0.4114)  1 Sb 2.92, 3 Tl 3.22
Sb (0.5886, 0.5886, 0.5886)  1 Sb 2.92, 3 Tl 3.22
Sb (0.9114, 0.9114, 0.9114)  1 Sb 2.92, 3 Tl 3.22



(B)
The following is a DFT calculation (PBE) of a geometry-optimized Tl3Sb2 structure.

M_tot ... 0.0 μB per formula unit

a = 9.4057 Å, b = 6.7277 Å, c = 10.8140 Å
α = 59.55°, β = 38.07°, γ = 82.38°
With the nearest neighbours (Å) after each atom.
Fractional positions:
Tl (0.0000, 0.0000, 0.0000)  4 Sb 3.25-3.62, 4 Tl 3.34-3.50
Tl (0.2500, 0.2500, 0.2500)  4 Sb 3.25-3.62, 4 Tl 3.34-3.50
Tl (0.4159, 0.5522, 0.3849)  5 Sb 3.34-3.64, 5 Tl 3.34-3.65
Tl (0.5522, 0.4159, 0.6470)  5 Sb 3.34-3.64, 5 Tl 3.34-3.65
Tl (0.6030, 0.8651, 0.6978)  5 Sb 3.34-3.64, 5 Tl 3.34-3.65
Tl (0.8651, 0.6030, 0.8341)  5 Sb 3.34-3.64, 5 Tl 3.34-3.65
Sb (0.1377, 0.7587, 0.2994)  2 Sb 3.19, 5 Tl 3.25-3.52
Sb (0.4458, 0.9506, 0.4913)  2 Sb 3.19, 5 Tl 3.25-3.52
Sb (0.7587, 0.1377, 0.8042)  2 Sb 3.19, 5 Tl 3.25-3.52
Sb (0.9506, 0.4458, 0.1123)  2 Sb 3.19, 5 Tl 3.25-3.52



Of them, (A) has the highest stability.



(A)
The following is a DFT calculation (PBE) of a geometry-optimized Tl5Sb4 structure.

M_tot ... 0.0 μB per formula unit

a = 9.5578 Å, b = 9.5578 Å, c = 6.9276 Å
α = 90.00°, β = 90.00°, γ = 120.00°
With the nearest neighbours (Å) after each atom.
Fractional positions:
Tl (0.0000, 0.3648, 0.2500)  5 Sb 3.17-3.55, 4 Tl 3.50
Tl (0.0000, 0.6352, 0.7500)  5 Sb 3.17-3.55, 4 Tl 3.50
Tl (0.3333, 0.6667, 0.0000)  8 Tl 3.46-3.50, 6 Sb 3.86
Tl (0.3333, 0.6667, 0.5000)  8 Tl 3.46-3.50, 6 Sb 3.86
Tl (0.3648, 0.0000, 0.2500)  5 Sb 3.17-3.55, 4 Tl 3.50
Tl (0.3648, 0.3648, 0.7500)  5 Sb 3.17-3.55, 4 Tl 3.50
Tl (0.6352, 0.0000, 0.7500)  5 Sb 3.17-3.55, 4 Tl 3.50
Tl (0.6352, 0.6352, 0.2500)  5 Sb 3.17-3.55, 4 Tl 3.50
Tl (0.6667, 0.3333, 0.0000)  8 Tl 3.46-3.50, 6 Sb 3.86
Tl (0.6667, 0.3333, 0.5000)  8 Tl 3.46-3.50, 6 Sb 3.86
Sb (0.0000, 0.0000, 0.0000)  8 Sb 3.22-3.46
Sb (0.0000, 0.0000, 0.5000)  8 Sb 3.22-3.46
Sb (0.0000, 0.2835, 0.7500)  5 Tl 3.17-3.55, 2 Sb 3.22
Sb (0.0000, 0.7165, 0.2500)  5 Tl 3.17-3.55, 2 Sb 3.22
Sb (0.2835, 0.0000, 0.7500)  5 Tl 3.17-3.55, 2 Sb 3.22
Sb (0.2835, 0.2835, 0.2500)  5 Tl 3.17-3.55, 2 Sb 3.22
Sb (0.7165, 0.0000, 0.2500)  5 Tl 3.17-3.55, 2 Sb 3.22
Sb (0.7165, 0.7165, 0.7500)  5 Tl 3.17-3.55, 2 Sb 3.22



(B)
The following is a DFT calculation (PBE) of a geometry-optimized Tl5Sb4 structure.

M_tot ... 0.0 μB per formula unit

a = 7.9159 Å, b = 7.9159 Å, c = 7.9159 Å
α = 95.24°, β = 95.24°, γ = 144.82°
With the nearest neighbours (Å) after each atom.
Fractional positions:
Tl (0.0000, 0.0000, 0.0000)  8 Tl 3.48, 4 Sb 3.75
Tl (0.3321, 0.3321, 0.6642)  6 Tl 3.44-3.58, 6 Sb 3.55-3.57
Tl (0.3321, 0.6679, 0.0000)  6 Tl 3.44-3.58, 6 Sb 3.55-3.57
Tl (0.6679, 0.3321, 0.0000)  6 Tl 3.44-3.58, 6 Sb 3.55-3.57
Tl (0.6679, 0.6679, 0.3358)  6 Tl 3.44-3.58, 6 Sb 3.55-3.57
Sb (0.0000, 0.3511, 0.3511)  5 Sb 3.18-3.28, 2 Tl 3.55
Sb (0.0000, 0.6489, 0.6489)  5 Sb 3.18-3.28, 2 Tl 3.55
Sb (0.3511, 0.0000, 0.3511)  5 Sb 3.18-3.28, 2 Tl 3.55
Sb (0.6489, 0.0000, 0.6489)  5 Sb 3.18-3.28, 2 Tl 3.55



(C)
The following is a DFT calculation (PBE) of a geometry-optimized Tl5Sb4 structure.

M_tot ... 0.0 μB per formula unit

a = 6.7038 Å, b = 6.7038 Å, c = 10.2367 Å
α = 121.35°, β = 121.35°, γ = 49.43°
With the nearest neighbours (Å) after each atom.
Fractional positions:
Tl (0.0000, 0.0000, 0.0000)  6 Sb 3.47-3.71, 2 Tl 3.64
Tl (0.3241, 0.3241, 0.4592)  5 Sb 3.39-3.57, 3 Tl 3.57-3.68
Tl (0.3469, 0.3469, 0.1268)  4 Sb 3.30-3.66, 4 Tl 3.57-3.64
Tl (0.6531, 0.6531, 0.8732)  4 Sb 3.30-3.66, 4 Tl 3.57-3.64
Tl (0.6759, 0.6759, 0.5408)  5 Sb 3.39-3.57, 3 Tl 3.57-3.68
Sb (0.0364, 0.0364, 0.6639)  2 Sb 2.89-2.94
Sb (0.3171, 0.3171, 0.7859)  1 Sb 2.89
Sb (0.6829, 0.6829, 0.2141)  1 Sb 2.89
Sb (0.9636, 0.9636, 0.3361)  2 Sb 2.89-2.94



Of them, (C) has the highest stability.